Record 1
First-principles (PBE) data for a geometry-optimized Tb2ScTl structure, as listed in Alexandria.

Lattice parameters (Å, degrees): 3.5187 3.5187 10.9475 80.75 80.75 60.00
Last column: nearest neighbours and their distance in Å.
Fractional coordinates of all 4 atoms:
Sc: 0.4999 0.4999 0.5002  6 Tb 3.37, 6 Sc 3.52
Tb: 0.2499 0.2499 0.2503  3 Sc 3.37, 3 Tl 3.37, 6 Tb 3.52
Tl: 0.6667 0.6667 0.9999  6 Tb 3.37, 6 Tl 3.52
Tb: 0.0835 0.0835 0.7496  3 Sc 3.37, 3 Tl 3.37, 6 Tb 3.52

=====

Record 2
First-principles (PBE) data for a geometry-optimized Tb7Sc2Tl2 structure, as listed in Alexandria.

Lattice parameters (Å, degrees): 3.5655 11.1030 11.1030 50.99 80.76 80.76
Last column: nearest neighbours and their distance in Å.
Fractional coordinates of all 11 atoms:
Tb: 0.1576 0.7333 0.9515  3 Tl 3.22-3.34, 4 Tb 3.47-3.57, 1 Sc 3.52
Tb: 0.6254 0.4618 0.2875  3 Sc 3.07-3.30, 2 Tl 3.12
Tl: 0.7451 0.8599 0.6499  7 Tb 3.12-3.34
Tb: 0.3746 0.7125 0.5382  3 Sc 3.07-3.30, 2 Tl 3.12
Sc: 0.5000 0.3971 0.6029  7 Tb 3.07-3.39
Tb: 0.8695 0.3953 0.8656  2 Tl 3.26, 2 Sc 3.38, 5 Tb 3.56-3.61
Tb: 0.5000 0.0423 0.9577  3 Sc 3.39-3.57, 6 Tb 3.57-3.79
Tb: 0.1305 0.1344 0.6047  2 Tl 3.26, 2 Sc 3.38, 5 Tb 3.56-3.61
Tl: 0.2549 0.3501 0.1401  7 Tb 3.12-3.34
Tb: 0.8424 0.0485 0.2667  3 Tl 3.22-3.34, 4 Tb 3.47-3.57, 1 Sc 3.52
Sc: 0.0000 0.7187 0.2813  8 Tb 3.30-3.57, 4 Sc 3.55-3.57

=====

Record 3
First-principles (PBE) data for a geometry-optimized TbSc2Tl2 structure, as listed in Alexandria.

Lattice parameters (Å, degrees): 5.0210 5.0210 6.5414 67.43 67.43 59.99
Last column: nearest neighbours and their distance in Å.
Fractional coordinates of all 5 atoms:
Tb: 0.0000 0.5000 0.0000  6 Tl 3.21
Sc: 0.7944 0.2944 0.6170  3 Tl 3.02, 3 Sc 3.21
Tl: 0.4122 0.9122 0.7635  3 Sc 3.02, 1 Tl 3.09, 3 Tb 3.21
Sc: 0.2056 0.7056 0.3830  3 Tl 3.02, 3 Sc 3.21
Tl: 0.5878 0.0878 0.2365  3 Sc 3.02, 1 Tl 3.09, 3 Tb 3.21

=====

Record 4
First-principles (PBE) data for a geometry-optimized Tb12Sc6Tl structure, as listed in Alexandria.

Lattice parameters (Å, degrees): 8.2696 8.2696 8.2696 88.09 88.09 88.09
Last column: nearest neighbours and their distance in Å.
Fractional coordinates of all 19 atoms:
Sc: 0.2547 0.1003 0.7222  1 Tl 3.17, 6 Tb 3.22-3.44, 2 Sc 3.24
Tb: 0.3691 0.0101 0.1716  4 Sc 3.31-3.63, 1 Tl 3.41, 5 Tb 3.44-3.58
Tb: 0.4329 0.7894 0.5398  3 Sc 3.22-3.44, 4 Tb 3.33-3.54
Tb: 0.9899 0.8284 0.6309  4 Sc 3.31-3.63, 1 Tl 3.41, 5 Tb 3.44-3.58
Tb: 0.5671 0.2106 0.4602  3 Sc 3.22-3.44, 4 Tb 3.33-3.54
Tb: 0.8284 0.6309 0.9899  4 Sc 3.31-3.63, 1 Tl 3.41, 5 Tb 3.44-3.58
Tb: 0.1716 0.3691 0.0101  4 Sc 3.31-3.63, 1 Tl 3.41, 5 Tb 3.44-3.58
Tb: 0.6309 0.9899 0.8284  4 Sc 3.31-3.63, 1 Tl 3.41, 5 Tb 3.44-3.58
Tb: 0.2106 0.4602 0.5671  3 Sc 3.22-3.44, 4 Tb 3.33-3.54
Tb: 0.7894 0.5398 0.4329  3 Sc 3.22-3.44, 4 Tb 3.33-3.54
Tb: 0.0101 0.1716 0.3691  4 Sc 3.31-3.63, 1 Tl 3.41, 5 Tb 3.44-3.58
Sc: 0.7222 0.2547 0.1003  1 Tl 3.17, 6 Tb 3.22-3.44, 2 Sc 3.24
Sc: 0.7453 0.8997 0.2778  1 Tl 3.17, 6 Tb 3.22-3.44, 2 Sc 3.24
Tl: 0.0000 0.0000 0.0000  6 Sc 3.17, 6 Tb 3.41
Tb: 0.5398 0.4329 0.7894  3 Sc 3.22-3.44, 4 Tb 3.33-3.54
Sc: 0.8997 0.2778 0.7453  1 Tl 3.17, 6 Tb 3.22-3.44, 2 Sc 3.24
Sc: 0.2778 0.7453 0.8997  1 Tl 3.17, 6 Tb 3.22-3.44, 2 Sc 3.24
Sc: 0.1003 0.7222 0.2547  1 Tl 3.17, 6 Tb 3.22-3.44, 2 Sc 3.24
Tb: 0.4602 0.5671 0.2106  3 Sc 3.22-3.44, 4 Tb 3.33-3.54

=====

Record 5
First-principles (PBE) data for a geometry-optimized Tb6ScTl5 structure, as listed in Alexandria.

Lattice parameters (Å, degrees): 5.3931 7.5558 9.3974 113.70 106.68 90.00
Last column: nearest neighbours and their distance in Å.
Fractional coordinates of all 12 atoms:
Tb: 0.5000 0.7412 0.0000  6 Tl 3.17-3.30, 2 Sc 3.33
Sc: 0.0000 0.0000 0.0000  8 Tb 3.33-3.38, 4 Tl 3.68
Tl: 0.6529 0.1529 0.3057  8 Tb 3.17-3.44
Tl: 0.6680 0.6680 0.3360  8 Tb 3.27-3.30
Tb: 0.5000 0.2588 0.0000  6 Tl 3.17-3.30, 2 Sc 3.33
Tl: 0.3471 0.8471 0.6943  8 Tb 3.17-3.44
Tb: 0.8299 0.5766 0.6597  7 Tl 3.27-3.44, 1 Sc 3.38
Tl: 0.0000 0.5000 0.0000  8 Tb 3.25-3.35
Tb: 0.1701 0.9168 0.3403  7 Tl 3.27-3.44, 1 Sc 3.38
Tb: 0.8299 0.0832 0.6597  7 Tl 3.27-3.44, 1 Sc 3.38
Tl: 0.3320 0.3320 0.6640  8 Tb 3.27-3.30
Tb: 0.1701 0.4234 0.3403  7 Tl 3.27-3.44, 1 Sc 3.38

=====

Record 6
First-principles (PBE) data for a geometry-optimized Tb3Sc2Tl4 structure, as listed in Alexandria.

Lattice parameters (Å, degrees): 5.9746 9.3030 9.3030 73.62 88.91 88.91
Last column: nearest neighbours and their distance in Å.
Fractional coordinates of all 18 atoms:
Tb: 0.4137 0.7700 0.9870  6 Tl 3.05-3.31
Tb: 0.9137 0.9870 0.7700  6 Tl 3.05-3.31
Tl: 0.6264 0.4688 0.2122  3 Sc 2.93-3.15, 1 Tl 3.05, 2 Tb 3.24
Tl: 0.0685 0.2613 0.8967  5 Tb 3.05-3.31, 2 Tl 3.05-3.16, 2 Sc 3.06-3.27
Tb: 0.2500 0.6058 0.3942  6 Tl 3.24-3.62, 2 Sc 3.42
Sc: 0.6279 0.1568 0.3977  5 Tl 2.93-3.27
Sc: 0.1279 0.3977 0.1568  5 Tl 2.93-3.27
Tl: 0.1264 0.2122 0.4688  3 Sc 2.93-3.15, 1 Tl 3.05, 2 Tb 3.24
Tb: 0.7500 0.3942 0.6058  6 Tl 3.24-3.62, 2 Sc 3.42
Sc: 0.3721 0.8432 0.6023  5 Tl 2.93-3.27
Tl: 0.9315 0.7387 0.1033  5 Tb 3.05-3.31, 2 Tl 3.05-3.16, 2 Sc 3.06-3.27
Tl: 0.3736 0.5312 0.7878  3 Sc 2.93-3.15, 1 Tl 3.05, 2 Tb 3.24
Sc: 0.8721 0.6023 0.8432  5 Tl 2.93-3.27
Tl: 0.5685 0.8967 0.2613  5 Tb 3.05-3.31, 2 Tl 3.05-3.16, 2 Sc 3.06-3.27
Tl: 0.4315 0.1033 0.7387  5 Tb 3.05-3.31, 2 Tl 3.05-3.16, 2 Sc 3.06-3.27
Tl: 0.8736 0.7878 0.5312  3 Sc 2.93-3.15, 1 Tl 3.05, 2 Tb 3.24
Tb: 0.5863 0.2300 0.0130  6 Tl 3.05-3.31
Tb: 0.0863 0.0130 0.2300  6 Tl 3.05-3.31

=====

Record 7
First-principles (PBE) data for a geometry-optimized Tb4ScTl structure, as listed in Alexandria.

Lattice parameters (Å, degrees): 6.3925 8.9490 8.1796 112.89 99.75 113.87
Last column: nearest neighbours and their distance in Å.
Fractional coordinates of all 12 atoms:
Tb: 0.2463 0.2880 0.3831  2 Tl 3.20-3.21, 5 Tb 3.30-3.57, 2 Sc 3.48-3.58
Tb: 0.0559 0.1729 0.7628  2 Tl 3.28-3.34, 4 Tb 3.33-3.66, 2 Sc 3.40-3.41
Tb: 0.2070 0.5900 0.7628  2 Tl 3.28-3.34, 4 Tb 3.33-3.66, 2 Sc 3.40-3.41
Tl: 0.7496 0.9996 0.9991  2 Tl 3.20, 8 Tb 3.20-3.34
Sc: 0.6567 0.4067 0.8134  8 Tb 3.40-3.58
Tb: 0.7930 0.4100 0.2372  2 Tl 3.28-3.34, 4 Tb 3.33-3.66, 2 Sc 3.40-3.41
Sc: 0.3433 0.5933 0.1866  8 Tb 3.40-3.58
Tb: 0.3631 0.9049 0.6169  2 Tl 3.20-3.21, 5 Tb 3.30-3.57, 2 Sc 3.48-3.58
Tb: 0.6369 0.0951 0.3831  2 Tl 3.20-3.21, 5 Tb 3.30-3.57, 2 Sc 3.48-3.58
Tb: 0.7537 0.7120 0.6169  2 Tl 3.20-3.21, 5 Tb 3.30-3.57, 2 Sc 3.48-3.58
Tl: 0.2504 0.0004 0.0009  2 Tl 3.20, 8 Tb 3.20-3.34
Tb: 0.9441 0.8271 0.2372  2 Tl 3.28-3.34, 4 Tb 3.33-3.66, 2 Sc 3.40-3.41

=====

Record 8
First-principles (PBE) data for a geometry-optimized Tb7ScTl4 structure, as listed in Alexandria.

Lattice parameters (Å, degrees): 5.7257 9.0861 8.0353 69.24 69.13 71.63
Last column: nearest neighbours and their distance in Å.
Fractional coordinates of all 12 atoms:
Tl: 0.6842 0.6593 0.9723  5 Tb 3.00-3.21, 1 Tl 3.28
Tb: 0.0676 0.5964 0.2684  5 Tl 3.21-3.57, 3 Tb 3.42-3.52, 1 Sc 3.51
Tl: 0.4501 0.7105 0.3893  4 Tb 3.00-3.28, 1 Tl 3.28
Tb: 0.2042 0.1184 0.4732  4 Tl 3.37-3.74, 6 Tb 3.48-3.72
Tl: 0.3158 0.3407 0.0277  5 Tb 3.00-3.21, 1 Tl 3.28
Sc: 0.0000 0.0000 0.0000  2 Tb 2.86
Tb: 0.7476 0.2960 0.2087  4 Tl 3.00-3.15, 1 Sc 3.34
Tl: 0.5499 0.2895 0.6107  4 Tb 3.00-3.28, 1 Tl 3.28
Tb: 0.9324 0.4036 0.7316  5 Tl 3.21-3.57, 3 Tb 3.42-3.52, 1 Sc 3.51
Tb: 0.5000 0.0000 0.0000  2 Sc 2.86, 2 Tl 3.00
Tb: 0.7958 0.8816 0.5268  4 Tl 3.37-3.74, 6 Tb 3.48-3.72
Tb: 0.2524 0.7040 0.7913  4 Tl 3.00-3.15, 1 Sc 3.34

=====

Record 9
First-principles (PBE) data for a geometry-optimized Tb9ScTl2 structure, as listed in Alexandria.

Lattice parameters (Å, degrees): 4.8643 4.8643 14.8693 90.00 90.00 90.00
Last column: nearest neighbours and their distance in Å.
Fractional coordinates of all 12 atoms:
Tl: 0.0000 0.0000 0.6615  12 Tb 3.42-3.52
Tb: 0.5000 0.0000 0.1673  8 Tb 3.44-3.48, 2 Sc 3.48, 2 Tl 3.52
Tb: 0.5000 0.5000 0.6663  4 Tl 3.44, 8 Tb 3.47
Tb: 0.0000 0.5000 0.5000  4 Tl 3.42, 8 Tb 3.44-3.47
Tb: 0.5000 0.5000 0.3337  4 Tl 3.44, 8 Tb 3.47
Tb: 0.0000 0.5000 0.1673  8 Tb 3.44-3.48, 2 Sc 3.48, 2 Tl 3.52
Sc: 0.0000 0.0000 0.0000  12 Tb 3.44-3.48
Tl: 0.0000 0.0000 0.3385  12 Tb 3.42-3.52
Tb: 0.5000 0.0000 0.8327  8 Tb 3.44-3.48, 2 Sc 3.48, 2 Tl 3.52
Tb: 0.5000 0.5000 0.0000  4 Sc 3.44, 8 Tb 3.48
Tb: 0.5000 0.0000 0.5000  4 Tl 3.42, 8 Tb 3.44-3.47
Tb: 0.0000 0.5000 0.8327  8 Tb 3.44-3.48, 2 Sc 3.48, 2 Tl 3.52

=====

Record 10
First-principles (PBE) data for a geometry-optimized Tb3ScTl2 structure, as listed in Alexandria.

Lattice parameters (Å, degrees): 6.4704 6.4535 9.4097 110.05 110.11 90.00
Last column: nearest neighbours and their distance in Å.
Fractional coordinates of all 12 atoms:
Tb: 0.4228 0.6758 0.3516  5 Tl 3.14-3.39
Sc: 0.0000 0.2500 0.0000  4 Tl 3.14, 2 Sc 3.23, 2 Tb 3.24
Tb: 0.5000 0.2500 0.0000  4 Tl 3.20, 2 Tb 3.23, 2 Sc 3.24
Tb: 0.5000 0.7500 0.0000  4 Tl 3.20, 2 Tb 3.23, 2 Sc 3.24
Tl: 0.8929 0.6337 0.2673  7 Tb 3.14-3.39, 2 Sc 3.14
Tl: 0.3744 0.1337 0.2673  7 Tb 3.14-3.39, 2 Sc 3.14
Tb: 0.9287 0.1758 0.3516  5 Tl 3.14-3.39
Tb: 0.0713 0.8242 0.6484  5 Tl 3.14-3.39
Sc: 0.0000 0.7500 0.0000  4 Tl 3.14, 2 Sc 3.23, 2 Tb 3.24
Tb: 0.5772 0.3242 0.6484  5 Tl 3.14-3.39
Tl: 0.6256 0.8663 0.7327  7 Tb 3.14-3.39, 2 Sc 3.14
Tl: 0.1071 0.3663 0.7327  7 Tb 3.14-3.39, 2 Sc 3.14

=====

Record 11
First-principles (PBE) data for a geometry-optimized Tb4ScTl3 structure, as listed in Alexandria.

Lattice parameters (Å, degrees): 4.9819 4.9819 9.5574 105.10 105.11 90.00
Last column: nearest neighbours and their distance in Å.
Fractional coordinates of all 8 atoms:
Tb: 0.3713 0.3713 0.7429  6 Tl 3.29-3.38, 2 Sc 3.38, 4 Tb 3.52
Tl: 0.0000 0.5000 0.0000  8 Tb 3.38, 4 Sc 3.52
Tb: 0.8713 0.8713 0.7429  6 Tl 3.29-3.38, 2 Sc 3.38, 4 Tb 3.52
Tl: 0.7507 0.2507 0.5013  8 Tb 3.29-3.30, 4 Tl 3.52
Sc: 0.5000 0.0000 0.0000  8 Tb 3.38, 4 Tl 3.52
Tb: 0.1287 0.1287 0.2571  6 Tl 3.29-3.38, 2 Sc 3.38, 4 Tb 3.52
Tb: 0.6287 0.6287 0.2571  6 Tl 3.29-3.38, 2 Sc 3.38, 4 Tb 3.52
Tl: 0.2493 0.7493 0.4987  8 Tb 3.29-3.30, 4 Tl 3.52

=====

no.,ρ (g/cm3),V (A^3/atom),raw total energy (eV/atom)
1,8.2,28.84,-4.5782
2,8.0,30.56,-4.5440
3,8.5,25.60,-4.6605
4,7.0,29.72,-4.9617
5,10.1,27.75,-4.1038
6,9.3,27.55,-4.2133
7,8.1,30.28,-4.5206
8,9.2,29.72,-4.0467
9,8.9,29.32,-4.5074
10,9.0,28.62,-4.3883
11,9.7,27.56,-4.2248